{
  "formula": "ZnAsIrRu",
  "functional": "PBE-GGA",
  "state": "relaxed",
  "sg": "F-43m, No. 216",
  "crystal_system": "cubic",
  "formation_energy_ev_per_atom": -0.074,
  "cell": [[4.313, 0.000, 0.000], [2.156, 3.735, 0.000], [2.156, 1.245, 3.521]],
  "species": ["Ir", "Zn", "Ru", "As"],
  "fractional_positions": [[0.750, 0.750, 0.750], [0.000, 0.000, 0.000], [0.250, 0.250, 0.250], [0.500, 0.500, 0.500]]
}